AcLa14Tl | Alexandria | GGA-PBE | relaxed; ΔE_f = -0.044 eV/atom; DFT total energy = -4.76 eV/atom; crystal system = orthorhombic; SG = Amm2
1.0
10.4746 0.0000 0.0000
0.0000 5.2249 5.2255
0.0000 -5.2249 5.2255
Ac La Tl
1 14 1
Cartesian
0.0000 0.0000 0.0000
0.0000 2.6099 7.8379
0.0000 -2.6099 7.8379
2.5805 0.0000 2.7028
2.5830 -2.5228 5.2257
2.5830 2.5228 5.2257
2.5853 0.0000 7.7498
5.2373 -2.6117 2.6125
5.2373 0.0000 0.0056
5.2373 2.6117 2.6125
5.2373 0.0000 5.2240
7.8916 -2.5228 5.2257
7.8916 2.5228 5.2257
7.8892 0.0000 7.7498
7.8941 0.0000 2.7028
0.0000 0.0000 5.2267